Ho3GaHg2: relaxed, GGA-PBE.

Space-group type: No. 123
Calculated volume, Å³ per cell: 146.9
Final energy, eV per atom: -3.4000

```
data_Ho3GaHg2
_chemical_formula_sum 'Ho3 Ga1 Hg2'
_cell_length_a 3.652
_cell_length_b 3.652
_cell_length_c 11.020
_cell_angle_alpha 90.00
_cell_angle_beta 90.00
_cell_angle_gamma 90.00
_space_group_name_H-M_alt 'P 1'
_space_group_IT_number 1
loop_
_space_group_symop_operation_xyz
'x,y,z'
loop_
_atom_site_label
_atom_site_fract_x
_atom_site_fract_y
_atom_site_fract_z
Ho1 0.000 0.000 0.000
Ho2 0.000 0.000 0.343
Ho3 0.000 0.000 0.657
Ga1 0.500 0.500 0.500
Hg1 0.500 0.500 0.170
Hg2 0.500 0.500 0.830
```

Ho2GaHg: relaxed, GGA-PBE.

Space-group type: No. 123
Calculated volume, Å³ per cell: 96.0
Final energy, eV per atom: -3.6505

```
data_Ho2GaHg
_chemical_formula_sum 'Ho2 Ga1 Hg1'
_cell_length_a 3.606
_cell_length_b 3.606
_cell_length_c 7.382
_cell_angle_alpha 90.00
_cell_angle_beta 90.00
_cell_angle_gamma 90.00
_space_group_name_H-M_alt 'P 1'
_space_group_IT_number 1
loop_
_space_group_symop_operation_xyz
'x,y,z'
loop_
_atom_site_label
_atom_site_fract_x
_atom_site_fract_y
_atom_site_fract_z
Ho1 0.000 0.000 0.236
Ho2 0.000 0.000 0.764
Ga1 0.500 0.500 0.000
Hg1 0.500 0.500 0.500
```

Ho4GaHg: relaxed, GGA-PBE.

Space-group type: No. 14
Calculated volume, Å³ per cell: 365.0
Final energy, eV per atom: -3.7490

```
data_Ho4GaHg
_chemical_formula_sum 'Ho8 Ga2 Hg2'
_cell_length_a 7.134
_cell_length_b 7.138
_cell_length_c 7.169
_cell_angle_alpha 90.00
_cell_angle_beta 91.40
_cell_angle_gamma 90.00
_space_group_name_H-M_alt 'P 1'
_space_group_IT_number 1
loop_
_space_group_symop_operation_xyz
'x,y,z'
loop_
_atom_site_label
_atom_site_fract_x
_atom_site_fract_y
_atom_site_fract_z
Ho1 0.157 0.165 0.172
Ho2 0.157 0.335 0.672
Ho3 0.341 0.654 0.147
Ho4 0.341 0.846 0.647
Ho5 0.659 0.154 0.353
Ho6 0.659 0.346 0.853
Ho7 0.843 0.665 0.328
Ho8 0.843 0.835 0.828
Ga1 0.000 0.000 0.500
Ga2 0.000 0.500 0.000
Hg1 0.500 0.000 0.000
Hg2 0.500 0.500 0.500
```

Ho4Ga2Hg: relaxed, GGA-PBE.

Excess energy over the best structure of this formula in the dataset, meV per atom: 0
Space-group type: No. 166
Calculated volume, Å³ per cell: 180.7
Final energy, eV per atom: -3.9347

```
data_Ho4Ga2Hg
_chemical_formula_sum 'Ho4 Ga2 Hg1'
_cell_length_a 8.678
_cell_length_b 8.678
_cell_length_c 8.678
_cell_angle_alpha 33.85
_cell_angle_beta 33.85
_cell_angle_gamma 33.85
_space_group_name_H-M_alt 'P 1'
_space_group_IT_number 1
loop_
_space_group_symop_operation_xyz
'x,y,z'
loop_
_atom_site_label
_atom_site_fract_x
_atom_site_fract_y
_atom_site_fract_z
Ho1 0.118 0.118 0.118
Ho2 0.371 0.371 0.371
Ho3 0.629 0.629 0.629
Ho4 0.882 0.882 0.882
Ga1 0.250 0.250 0.250
Ga2 0.750 0.750 0.750
Hg1 0.500 0.500 0.500
```

HoGaHg2: relaxed, GGA-PBE.

Space-group type: No. 59
Calculated volume, Å³ per cell: 180.8
Final energy, eV per atom: -2.3949

```
data_HoGaHg2
_chemical_formula_sum 'Ho2 Ga2 Hg4'
_cell_length_a 4.674
_cell_length_b 6.318
_cell_length_c 6.124
_cell_angle_alpha 90.00
_cell_angle_beta 90.00
_cell_angle_gamma 90.00
_space_group_name_H-M_alt 'P 1'
_space_group_IT_number 1
loop_
_space_group_symop_operation_xyz
'x,y,z'
loop_
_atom_site_label
_atom_site_fract_x
_atom_site_fract_y
_atom_site_fract_z
Ho1 0.250 0.250 0.108
Ho2 0.750 0.750 0.892
Ga1 0.250 0.750 0.226
Ga2 0.750 0.250 0.774
Hg1 0.250 0.509 0.662
Hg2 0.250 0.991 0.662
Hg3 0.750 0.009 0.338
Hg4 0.750 0.491 0.338
```

Ho3GaHg: relaxed, GGA-PBE.

Space-group type: No. 15
Calculated volume, Å³ per cell: 522.8
Final energy, eV per atom: -3.7526

```
data_Ho3GaHg
_chemical_formula_sum 'Ho12 Ga4 Hg4'
_cell_length_a 9.757
_cell_length_b 9.757
_cell_length_c 6.480
_cell_angle_alpha 95.40
_cell_angle_beta 95.40
_cell_angle_gamma 58.48
_space_group_name_H-M_alt 'P 1'
_space_group_IT_number 1
loop_
_space_group_symop_operation_xyz
'x,y,z'
loop_
_atom_site_label
_atom_site_fract_x
_atom_site_fract_y
_atom_site_fract_z
Ho1 0.049 0.256 0.585
Ho2 0.182 0.694 0.978
Ho3 0.256 0.049 0.085
Ho4 0.293 0.378 0.498
Ho5 0.306 0.818 0.522
Ho6 0.378 0.293 0.998
Ho7 0.622 0.707 0.002
Ho8 0.694 0.182 0.478
Ho9 0.707 0.622 0.502
Ho10 0.744 0.951 0.915
Ho11 0.818 0.306 0.022
Ho12 0.951 0.744 0.415
Ga1 0.036 0.428 0.176
Ga2 0.428 0.036 0.676
Ga3 0.572 0.964 0.324
Ga4 0.964 0.572 0.824
Hg1 0.002 0.998 0.250
Hg2 0.499 0.501 0.250
Hg3 0.501 0.499 0.750
Hg4 0.998 0.002 0.750
```

Ho2GaHg4: relaxed, GGA-PBE.

Space-group type: No. 166
Calculated volume, Å³ per cell: 167.4
Final energy, eV per atom: -2.2230

```
data_Ho2GaHg4
_chemical_formula_sum 'Ho2 Ga1 Hg4'
_cell_length_a 7.879
_cell_length_b 7.879
_cell_length_c 7.879
_cell_angle_alpha 38.12
_cell_angle_beta 38.12
_cell_angle_gamma 38.12
_space_group_name_H-M_alt 'P 1'
_space_group_IT_number 1
loop_
_space_group_symop_operation_xyz
'x,y,z'
loop_
_atom_site_label
_atom_site_fract_x
_atom_site_fract_y
_atom_site_fract_z
Ho1 0.219 0.219 0.219
Ho2 0.781 0.781 0.781
Ga1 0.500 0.500 0.500
Hg1 0.075 0.075 0.075
Hg2 0.364 0.364 0.364
Hg3 0.636 0.636 0.636
Hg4 0.925 0.925 0.925
```

Ho3Ga2Hg3: relaxed, GGA-PBE.

Space-group type: No. 63
Calculated volume, Å³ per cell: 374.5
Final energy, eV per atom: -3.0545

```
data_Ho3Ga2Hg3
_chemical_formula_sum 'Ho6 Ga4 Hg6'
_cell_length_a 5.919
_cell_length_b 5.919
_cell_length_c 15.381
_cell_angle_alpha 90.00
_cell_angle_beta 90.00
_cell_angle_gamma 135.97
_space_group_name_H-M_alt 'P 1'
_space_group_IT_number 1
loop_
_space_group_symop_operation_xyz
'x,y,z'
loop_
_atom_site_label
_atom_site_fract_x
_atom_site_fract_y
_atom_site_fract_z
Ho1 0.077 0.923 0.611
Ho2 0.077 0.923 0.889
Ho3 0.352 0.648 0.750
Ho4 0.648 0.352 0.250
Ho5 0.923 0.077 0.111
Ho6 0.923 0.077 0.389
Ga1 0.206 0.794 0.117
Ga2 0.206 0.794 0.383
Ga3 0.794 0.206 0.617
Ga4 0.794 0.206 0.883
Hg1 0.372 0.628 0.533
Hg2 0.372 0.628 0.967
Hg3 0.374 0.626 0.250
Hg4 0.626 0.374 0.750
Hg5 0.628 0.372 0.033
Hg6 0.628 0.372 0.467
```